Density functional theory data (PBE) for a geometry-optimized NiOsBr2 structure.

Computed properties:
Total magnetization, μB/cell: 1.33
DOS at the Fermi energy, states/eV/cell: 5.31
Space group: No. 12
Energy relative to the elements, uncorrected, eV per atom: 0.487

Structure (POSCAR):
```
NiOsBr2
1.0
8.2438 -1.4162 0.0000
8.2438 1.4162 0.0000
-0.8292 0.0000 4.0632
Ni Os Br
1 1 2
direct
0.0000 0.0000 0.0000
0.5000 0.5000 0.5000
0.3495 0.3495 0.3738
0.6505 0.6505 0.6262
```

=====

Density functional theory data (PBE) for a geometry-optimized NaCdIn2Si structure.

Computed properties:
Total magnetization, μB/cell: 0.00
DOS at the Fermi energy, states/eV/cell: 1.78
Space group: No. 123
Energy relative to the elements, uncorrected, eV per atom: 0.267

Structure (POSCAR):
```
NaCdIn2Si
1.0
5.3593 0.0000 0.0000
0.0000 5.3593 0.0000
0.0000 0.0000 5.4962
Na Cd In Si
1 1 2 1
direct
0.0000 0.0000 0.0000
0.5000 0.5000 0.0000
0.0000 0.5000 0.5000
0.5000 0.0000 0.5000
0.0000 0.0000 0.5000
```

=====

Density functional theory data (PBE) for a geometry-optimized KBa4Sr15 structure.

Computed properties:
Total magnetization, μB/cell: 0.00
DOS at the Fermi energy, states/eV/cell: 19.19
Space group: No. 123
Calculated formation energy, eV/atom: 0.020

Structure (POSCAR):
```
KBa4Sr15
1.0
6.1097 0.0000 0.0000
0.0000 6.1097 0.0000
0.0000 0.0000 30.7978
K Ba Sr
1 4 15
direct
0.0000 0.0000 0.0000
0.0000 0.0000 0.2009
0.0000 0.0000 0.4000
0.0000 0.0000 0.6000
0.0000 0.0000 0.7991
0.0000 0.5000 0.1007
0.0000 0.5000 0.3002
0.0000 0.5000 0.5000
0.0000 0.5000 0.6998
0.0000 0.5000 0.8993
0.5000 0.0000 0.1007
0.5000 0.0000 0.3002
0.5000 0.0000 0.5000
0.5000 0.0000 0.6998
0.5000 0.0000 0.8993
0.5000 0.5000 0.0000
0.5000 0.5000 0.1996
0.5000 0.5000 0.4001
0.5000 0.5000 0.5999
0.5000 0.5000 0.8004
```

=====

> Which of these has the lowest DOS at the Fermi energy?

NaCdIn2Si

=====

> Which formula does entry 2 have?

NaCdIn2Si

=====

What did the second record say?
Density functional theory data (PBE) for a geometry-optimized NaCdIn2Si structure.

Computed properties:
Total magnetization, μB/cell: 0.00
DOS at the Fermi energy, states/eV/cell: 1.78
Space group: No. 123
Energy relative to the elements, uncorrected, eV per atom: 0.267

Structure (POSCAR):
```
NaCdIn2Si
1.0
5.3593 0.0000 0.0000
0.0000 5.3593 0.0000
0.0000 0.0000 5.4962
Na Cd In Si
1 1 2 1
direct
0.0000 0.0000 0.0000
0.5000 0.5000 0.0000
0.0000 0.5000 0.5000
0.5000 0.0000 0.5000
0.0000 0.0000 0.5000
```